[1]
VASP calculation (GGA-PBE) on crystalline Dy6Pd2N at its relaxed geometry.

The structure in POSCAR format:
```
Dy6Pd2N
1.0
-5.2891 0.4825 -3.7361
1.6915 -5.9923 -3.1685
-5.1813 -4.8546 6.4150
Dy Pd N
12 4 2
Direct
0.1120 0.0284 0.2592
0.1778 0.3027 0.5552
0.1932 0.3197 0.9451
0.3068 0.8197 0.5549
0.3222 0.8027 0.9448
0.3880 0.5284 0.2408
0.8880 0.9716 0.7408
0.8222 0.6973 0.4448
0.8068 0.6803 0.0549
0.6932 0.1803 0.4451
0.6778 0.1973 0.0552
0.6120 0.4716 0.7592
0.0402 0.5876 0.7511
0.4598 0.0876 0.7489
0.5402 0.9124 0.2511
0.9598 0.4124 0.2489
0.5000 0.5000 0.0000
0.0000 0.0000 0.5000
```

Values from the calculation:
theoretical density	9.20	g/cm³
energy	-5.929	eV/atom
ΔE_f (raw)	-7.03	eV/f.u.

[2]
VASP calculation (GGA-PBE) on crystalline ThInCoRh at its relaxed geometry.

The structure in POSCAR format:
```
ThInCoRh
1.0
4.7830 0.0000 0.0000
2.3915 4.1422 0.0000
2.3915 1.3807 3.9053
Co Rh Th In
1 1 1 1
Direct
0.5000 0.5000 0.5000
0.0000 0.0000 0.0000
0.2500 0.2500 0.2500
0.7500 0.7500 0.7500
```

Values from the calculation:
formation energy	-388	meV/atom
theoretical density	10.92	g/cm³
energy	-6.541	eV/atom

[3]
VASP calculation (GGA-PBE) on crystalline CaZn6 at its relaxed geometry.

The structure in POSCAR format:
```
CaZn6
1.0
-0.3750 -2.2889 -5.4954
-2.0845 -3.9557 3.9480
-3.2383 5.0004 0.2964
Ca Zn
1 6
Direct
0.0000 0.0000 0.0000
0.2500 0.7500 0.5000
0.5000 0.7500 0.2500
0.2500 0.5000 0.7500
0.7500 0.2500 0.5000
0.5000 0.2500 0.7500
0.7500 0.5000 0.2500
```

Values from the calculation:
formation energy	190	meV/atom
theoretical density	4.40	g/cm³
energy	-1.188	eV/atom
energy relative to the lowest polymorph listed for this composition	8.79	kcal/mol of atoms